DFT (PBE) results for Y2ErRh after structural relaxation.

E_tot ... -6.7028 eV/atom
Energy of formation ... -1.97 eV/f.u.
Energy relative to the lowest polymorph listed for this composition ... 0.032 eV/atom

a = 3.803 Å, b = 6.279 Å, c = 9.401 Å
α = 90.00°, β = 90.00°, γ = 107.64°
Atoms (fractional coordinates):
Y 0.138 0.276 0.433
Y 0.862 0.724 0.567
Y 0.862 0.724 0.933
Y 0.138 0.276 0.067
Er 0.422 0.844 0.250
Er 0.578 0.156 0.750
Rh 0.749 0.498 0.250
Rh 0.251 0.502 0.750

=====

DFT (PBE) results for YEr3Rh2 after structural relaxation.

E_tot ... -6.4911 eV/atom
Energy of formation ... -4.09 eV/f.u.
Energy relative to the lowest polymorph listed for this composition ... 0.000 eV/atom

a = 4.623 Å, b = 7.166 Å, c = 8.671 Å
α = 90.00°, β = 90.00°, γ = 90.00°
Atoms (fractional coordinates):
Y 0.500 0.512 0.584
Y 0.500 0.012 0.416
Er 0.000 0.487 0.915
Er 0.000 0.987 0.085
Er 0.500 0.642 0.169
Er 0.500 0.142 0.831
Er 0.000 0.359 0.329
Er 0.000 0.859 0.671
Rh 0.500 0.745 0.844
Rh 0.500 0.245 0.156
Rh 0.000 0.254 0.660
Rh 0.000 0.754 0.340

=====

DFT (PBE) results for Y3ErRh after structural relaxation.

E_tot ... -6.6156 eV/atom
Energy of formation ... -1.77 eV/f.u.
Energy relative to the lowest polymorph listed for this composition ... 0.038 eV/atom

a = 7.272 Å, b = 7.272 Å, c = 7.285 Å
α = 108.40°, β = 112.62°, γ = 107.37°
Each line ends with the local moment (μB).
Atoms (fractional coordinates):
Y 0.842 0.048 0.286  0.08
Y 0.238 0.444 0.286  0.08
Y 0.762 0.556 0.714  0.08
Y 0.711 0.449 0.160  0.09
Y 0.158 0.952 0.714  0.08
Y 0.289 0.551 0.840  0.09
Er 0.707 0.052 0.759  0.12
Er 0.293 0.948 0.241  0.12
Rh 0.620 0.753 0.373  0.01
Rh 0.380 0.247 0.627  0.01

=====

DFT (PBE) results for YEr5Rh6 after structural relaxation.

E_tot ... -7.0370 eV/atom
Energy of formation ... -11.06 eV/f.u.

a = 4.794 Å, b = 6.842 Å, c = 7.590 Å
α = 90.00°, β = 71.59°, γ = 90.00°
Atoms (fractional coordinates):
Y 0.000 0.000 0.000
Rh 0.832 0.749 0.335
Rh 0.832 0.251 0.335
Rh 0.500 0.253 0.000
Rh 0.500 0.747 0.000
Rh 0.168 0.749 0.665
Rh 0.168 0.251 0.665
Er 0.667 0.500 0.667
Er 0.333 0.000 0.334
Er 0.000 0.500 0.000
Er 0.667 0.000 0.666
Er 0.333 0.500 0.333

=====

DFT (PBE) results for YbErRh2 after structural relaxation.

E_tot ... -5.9633 eV/atom
Energy of formation ... -3.06 eV/f.u.

a = 4.797 Å, b = 4.797 Å, c = 4.797 Å
α = 60.00°, β = 60.00°, γ = 60.00°
Each line ends with the local moment (μB).
Atoms (fractional coordinates):
Yb 0.000 0.000 0.000  0.31
Rh 0.250 0.250 0.250  0.01
Rh 0.750 0.750 0.750  0.01
Er 0.500 0.500 0.500  0.00

=====

DFT (PBE) results for Er3Zn8Rh after structural relaxation.

E_tot ... -2.9615 eV/atom
Energy of formation ... -4.31 eV/f.u.

a = 5.258 Å, b = 5.258 Å, c = 9.293 Å
α = 73.57°, β = 73.57°, γ = 60.00°
Atoms (fractional coordinates):
Er 0.379 0.379 0.864
Er 0.988 0.988 0.035
Er 0.504 0.504 0.487
Zn 0.936 0.434 0.196
Zn 0.444 0.938 0.681
Zn 0.434 0.434 0.196
Zn 0.938 0.938 0.681
Zn 0.188 0.188 0.436
Zn 0.686 0.686 0.942
Zn 0.434 0.936 0.196
Zn 0.938 0.444 0.681
Rh 0.881 0.881 0.356

=====

DFT (PBE) results for Er2ZnRh after structural relaxation.

E_tot ... -5.0871 eV/atom
Energy of formation ... -2.60 eV/f.u.

a = 3.459 Å, b = 3.459 Å, c = 7.003 Å
α = 90.00°, β = 90.00°, γ = 90.00°
Atoms (fractional coordinates):
Zn 0.500 0.500 0.500
Rh 0.500 0.500 0.000
Er 0.000 0.000 0.766
Er 0.000 0.000 0.234

=====

DFT (PBE) results for Er7ZnRh4 after structural relaxation.

E_tot ... -5.7321 eV/atom
Energy of formation ... -6.17 eV/f.u.

a = 5.262 Å, b = 8.345 Å, c = 7.299 Å
α = 75.73°, β = 68.87°, γ = 71.62°
Atoms (fractional coordinates):
Er 0.787 0.873 0.553
Er 0.213 0.127 0.447
Er 0.076 0.648 0.200
Er 0.924 0.352 0.800
Er 0.330 0.617 0.723
Er 0.500 0.000 0.000
Er 0.670 0.383 0.277
Zn 0.000 0.000 0.000
Rh 0.567 0.220 0.645
Rh 0.433 0.780 0.355
Rh 0.705 0.654 0.936
Rh 0.295 0.346 0.064

=====

DFT (PBE) results for Er4Zn3Rh after structural relaxation.

E_tot ... -4.1830 eV/atom
Energy of formation ... -4.04 eV/f.u.

a = 3.511 Å, b = 3.511 Å, c = 13.940 Å
α = 90.00°, β = 90.00°, γ = 90.00°
Atoms (fractional coordinates):
Zn 0.500 0.500 0.247
Zn 0.500 0.500 0.500
Zn 0.500 0.500 0.753
Rh 0.500 0.500 0.000
Er 0.000 0.000 0.884
Er 0.000 0.000 0.116
Er 0.000 0.000 0.372
Er 0.000 0.000 0.628

=====

DFT (PBE) results for Er3ZnRh after structural relaxation.

E_tot ... -4.9876 eV/atom
Energy of formation ... -2.62 eV/f.u.
Energy relative to the lowest polymorph listed for this composition ... 0.000 eV/atom

a = 5.604 Å, b = 5.604 Å, c = 9.272 Å
α = 65.37°, β = 65.37°, γ = 67.46°
Atoms (fractional coordinates):
Er 0.305 0.305 0.891
Er 0.695 0.695 0.109
Er 0.077 0.077 0.709
Er 0.923 0.923 0.291
Er 0.714 0.714 0.707
Er 0.286 0.286 0.293
Zn 0.697 0.303 0.500
Zn 0.303 0.697 0.500
Rh 0.250 0.750 0.000
Rh 0.750 0.250 0.000

=====

DFT (PBE) results for Er4ZnRh after structural relaxation.

E_tot ... -4.7720 eV/atom
Energy of formation ... -1.76 eV/f.u.
Energy relative to the lowest polymorph listed for this composition ... 0.195 eV/atom

a = 4.828 Å, b = 4.829 Å, c = 6.837 Å
α = 89.90°, β = 89.95°, γ = 90.00°
Atoms (fractional coordinates):
Er 0.501 0.997 0.256
Er 0.501 0.998 0.740
Er 0.002 0.498 0.740
Er 0.001 0.497 0.256
Zn 0.501 0.497 0.998
Rh 0.001 0.997 0.498

=====

DFT (PBE) results for ErZn2Rh after structural relaxation.

E_tot ... -4.0473 eV/atom
Energy of formation ... -1.73 eV/f.u.

a = 4.579 Å, b = 4.579 Å, c = 4.579 Å
α = 60.00°, β = 60.00°, γ = 60.00°
Atoms (fractional coordinates):
Zn 0.250 0.250 0.250
Zn 0.750 0.750 0.750
Rh 0.000 0.000 0.000
Er 0.500 0.500 0.500